No. 1
A relaxed structure of NaAcBi4, computed with PBE.

Cell lengths 9.4387, 9.4387, 9.4387 Å; angles 90.00, 90.00, 90.00 degrees
Closest atoms and distances in Å follow each position.
Space group F-43m (No. 216)
One atom of each set of equivalent atoms:
Na 0.0000 0.0000 0.0000 (multiplicity 4)  12 Bi 3.91, 4 Ac 4.09
Ac 0.2500 0.2500 0.2500 (multiplicity 4)  12 Bi 3.91, 4 Na 4.09
Bi 0.1253 0.1253 0.6253 (multiplicity 16)  6 Bi 3.33-3.34

## Properties
ρ	8.6	g/cm³
formation energy from the elements	-260	meV per atom



No. 2
A relaxed structure of CaNiIr2, computed with PBE.

Cell lengths 3.9208, 3.9208, 8.3614 Å; angles 90.00, 90.00, 90.00 degrees
Closest atoms and distances in Å follow each position.
Space group I4/mmm (No. 139)
One atom of each set of equivalent atoms:
Ca 0.0000 0.0000 0.0000 (multiplicity 2)  4 Ni 2.77, 8 Ir 2.87
Ni 0.0000 0.0000 0.5000 (multiplicity 2)  4 Ca 2.77, 8 Ir 2.87
Ir 0.0000 0.5000 0.2500 (multiplicity 4)  4 Ir 2.77, 4 Ca 2.87, 4 Ni 2.87

## Properties
ρ	12.5	g/cm³
energy relative to the lowest polymorph listed for this composition	201	meV per atom
formation energy from the elements	217	meV per atom



No. 3
A relaxed structure of Nd5P4I, computed with PBE.

Cell lengths 14.0934, 4.1978, 10.5146 Å; angles 90.00, 120.01, 90.00 degrees
Closest atoms and distances in Å follow each position.
Space group C2/m (No. 12)
One atom of each set of equivalent atoms:
Nd 0.0000 0.0000 0.0000 (multiplicity 2)  6 P 2.99-3.04
Nd 0.1142 0.5000 0.3785 (multiplicity 4)  4 P 2.83-3.05
Nd 0.2107 0.0000 0.8246 (multiplicity 4)  5 P 2.86-2.97
P 0.0946 0.5000 0.8935 (multiplicity 4)  6 Nd 2.86-2.99
P 0.2084 0.0000 0.2977 (multiplicity 4)  6 Nd 2.83-3.05
I 0.0000 0.0000 0.5000 (multiplicity 2)  6 Nd 3.21-3.27

## Properties
ρ	6.0	g/cm³
formation energy from raw total energies	-1.474	eV per atom



No. 4
A relaxed structure of ZrMo, computed with PBE.

Cell lengths 3.1379, 3.1379, 27.4693 Å; angles 90.00, 90.00, 120.00 degrees
Closest atoms and distances in Å follow each position.
Space group R-3m (No. 166, hexagonal axes)
One atom of each set of equivalent atoms:
Zr 0.0000 0.0000 0.1186 (multiplicity 6)  3 Mo 2.95, 9 Zr 3.14-3.20
Mo 0.0000 0.0000 0.3672 (multiplicity 6)  3 Mo 2.60

## Properties
ρ	8.0	g/cm³
energy relative to the lowest polymorph listed for this composition	271	meV per atom
formation energy from the elements	229	meV per atom



No. 5
A relaxed structure of Na2HgBi, computed with PBE.

Cell lengths 3.5767, 3.5767, 31.0421 Å; angles 90.00, 90.00, 120.00 degrees
Closest atoms and distances in Å follow each position.
Space group R-3m (No. 166, hexagonal axes)
One atom of each set of equivalent atoms:
Na 0.0000 0.0000 0.2488 (multiplicity 6)  3 Hg 3.28, 3 Bi 3.34, 6 Na 3.58
Hg 0.0000 0.0000 0.5000 (multiplicity 3)  6 Na 3.28, 6 Hg 3.58
Bi 0.0000 0.0000 0.0000 (multiplicity 3)  6 Na 3.34, 6 Bi 3.58

## Properties
ρ	6.6	g/cm³
formation energy from the elements	-208	meV per atom



No. 6
A relaxed structure of PmSmLuMg, computed with PBE.

Cell lengths 7.8302, 7.8302, 7.8302 Å; angles 90.00, 90.00, 90.00 degrees
Closest atoms and distances in Å follow each position.
Space group F-43m (No. 216)
One atom of each set of equivalent atoms:
Pm 0.0000 0.0000 0.0000 (multiplicity 4)  4 Mg 3.39, 4 Lu 3.39
Sm 0.0000 0.0000 0.5000 (multiplicity 4)  4 Lu 3.39, 4 Mg 3.39
Lu 0.2500 0.2500 0.7500 (multiplicity 4)  4 Pm 3.39, 4 Sm 3.39
Mg 0.2500 0.2500 0.2500 (multiplicity 4)  4 Sm 3.39, 4 Pm 3.39

## Properties
ρ	6.8	g/cm³
formation energy from the elements	8	meV per atom



No. 7
A relaxed structure of LaBe3Co, computed with PBE.

Cell lengths 4.2095, 4.2095, 4.2095 Å; angles 90.00, 90.00, 90.00 degrees
Closest atoms and distances in Å follow each position.
Space group Pm-3m (No. 221)
One atom of each set of equivalent atoms:
La 0.0000 0.0000 0.0000 (multiplicity 1)  12 Be 2.98
Be 0.0000 0.5000 0.5000 (multiplicity 3)  2 Co 2.10
Co 0.5000 0.5000 0.5000 (multiplicity 1)  6 Be 2.10

## Properties
ρ	5.0	g/cm³
energy relative to the lowest polymorph listed for this composition	0	meV per atom
formation energy from the elements	-34	meV per atom



No. 8
A relaxed structure of YMo, computed with PBE.

Cell lengths 2.9602, 5.2663, 5.8185 Å; angles 90.00, 90.00, 90.00 degrees
Closest atoms and distances in Å follow each position.
Space group Immm (No. 71)
One atom of each set of equivalent atoms:
Y 0.0000 0.0000 0.0000 (multiplicity 2)  6 Mo 2.91-3.02, 2 Y 2.96
Mo 0.0000 0.0000 0.5000 (multiplicity 2)  6 Y 2.91-3.02, 2 Mo 2.96

## Properties
ρ	6.8	g/cm³
energy relative to the lowest polymorph listed for this composition	839	meV per atom
formation energy from the elements	975	meV per atom